1.
VASP calculation (PBE) on crystalline Ir2OsRh at its relaxed geometry.

Lattice parameters (Å, degrees): 3.8567 3.8567 7.7235 90.00 90.00 90.00
Space group I4/mmm (No. 139)
Symmetry-distinct sites (fractional):
Ir (0.0000, 0.5000, 0.2500)
Os (0.0000, 0.0000, 0.0000)
Rh (0.0000, 0.0000, 0.5000)

Calculated values
DFT formation energy   0.022 eV per atom
Total moment   0.0 μB per cell



2.
VASP calculation (PBE) on crystalline IrOsRh2 at its relaxed geometry.

Lattice parameters (Å, degrees): 6.1722 6.1722 6.1722 90.00 90.00 90.00
Space group Fm-3m (No. 225)
Symmetry-distinct sites (fractional):
Ir (0.0000, 0.0000, 0.0000)
Os (0.0000, 0.0000, 0.5000)
Rh (0.2500, 0.2500, 0.2500)

Calculated values
DFT formation energy   0.540 eV per atom
Total moment   5.0 μB per cell



3.
VASP calculation (PBE) on crystalline IrOs2Rh at its relaxed geometry.

Lattice parameters (Å, degrees): 9.0566 2.7176 4.7247 90.00 99.73 90.00
Space group Cm (No. 8)
Symmetry-distinct sites (fractional):
Ir (0.0000, 0.0000, 0.0000)
Os (0.2469, 0.5000, 0.2498)
Os (0.4939, 0.0000, 0.4919)
Rh (0.2445, 0.0000, 0.7445)

Calculated values
DFT formation energy   0.053 eV per atom
Total moment   0.0 μB per cell



4.
VASP calculation (PBE) on crystalline Ir4OsRh3 at its relaxed geometry.

Lattice parameters (Å, degrees): 12.0058 4.5112 4.7694 90.00 112.69 90.00
Space group C2/m (No. 12)
Symmetry-distinct sites (fractional):
Ir (0.1223, 0.0000, 0.0858)
Ir (0.2475, 0.5000, 0.3161)
Os (0.0000, 0.5000, 0.0000)
Rh (0.0000, 0.0000, 0.5000)
Rh (0.1358, 0.5000, 0.7042)

Calculated values
DFT formation energy   0.303 eV per atom
Total moment   1.4 μB per cell



5.
VASP calculation (PBE) on crystalline Ir4OsRh6 at its relaxed geometry.

Lattice parameters (Å, degrees): 4.3193 18.7462 4.6682 90.00 116.88 90.00
Space group P2_1/m (No. 11)
Symmetry-distinct sites (fractional):
Ir (0.1134, 0.1347, 0.2138)
Ir (0.3204, 0.0274, 0.6403)
Os (0.0541, 0.7500, 0.0717)
Rh (0.0000, 0.0000, 0.0000)
Rh (0.2160, 0.6089, 0.4341)
Rh (0.3876, 0.7500, 0.6713)
Rh (0.4142, 0.1654, 0.8313)

Calculated values
DFT formation energy   0.281 eV per atom
Total moment   0.0 μB per cell



6.
VASP calculation (PBE) on crystalline Ir8Os3Rh2 at its relaxed geometry.

Lattice parameters (Å, degrees): 4.7326 6.1109 7.2307 94.88 109.10 105.00
Space group P-1 (No. 2)
Symmetry-distinct sites (fractional):
Ir (0.0410, 0.0756, 0.1897)
Ir (0.2641, 0.5420, 0.3424)
Ir (0.3490, 0.6912, 0.7307)
Ir (0.4236, 0.8436, 0.1181)
Os (0.1961, 0.3868, 0.9670)
Os (0.5000, 0.0000, 0.5000)
Rh (0.1143, 0.2286, 0.5758)

Calculated values
DFT formation energy   0.009 eV per atom
Total moment   0.0 μB per cell



7.
VASP calculation (PBE) on crystalline IrOs3Rh2 at its relaxed geometry.

Lattice parameters (Å, degrees): 4.5027 14.7143 2.7074 90.00 90.00 90.00
Space group Cmmm (No. 65)
Symmetry-distinct sites (fractional):
Ir (0.0000, 0.0000, 0.0000)
Os (0.0000, 0.1505, 0.5000)
Os (0.0000, 0.5000, 0.5000)
Rh (0.0000, 0.3099, 0.0000)

Calculated values
DFT formation energy   0.463 eV per atom
Total moment   0.0 μB per cell



8.
VASP calculation (PBE) on crystalline Ir2OsRh2 at its relaxed geometry.

Lattice parameters (Å, degrees): 3.5696 3.5696 12.6382 90.00 90.00 90.00
Space group I4/mmm (No. 139)
Symmetry-distinct sites (fractional):
Ir (0.0000, 0.5000, 0.2500)
Os (0.0000, 0.0000, 0.0000)
Rh (0.0000, 0.0000, 0.4022)

Calculated values
DFT formation energy   0.787 eV per atom
Total moment   3.0 μB per cell